CsMnBr3O2: optimized geometry, PBE+U.

Results
N(E_F)	0.10	states/eV per atom
crystal system	orthorhombic
total energy	-4.18	eV per atom

a = 9.269 Å, b = 7.367 Å, c = 13.362 Å
α = 90.00°, β = 90.00°, γ = 90.00°
Element x y z (fractional)
Cs (0.250, 0.000, 0.117)
Cs (0.250, 0.000, 0.617)
Cs (0.750, 0.000, 0.383)
Cs (0.750, 0.000, 0.883)
Mn (0.000, 0.450, 0.250)
Mn (0.000, 0.550, 0.750)
Mn (0.500, 0.450, 0.750)
Mn (0.500, 0.550, 0.250)
Br (0.110, 0.232, 0.367)
Br (0.110, 0.768, 0.867)
Br (0.250, 0.500, 0.136)
Br (0.250, 0.500, 0.636)
Br (0.390, 0.232, 0.867)
Br (0.390, 0.768, 0.367)
Br (0.610, 0.232, 0.633)
Br (0.610, 0.768, 0.133)
Br (0.750, 0.500, 0.364)
Br (0.750, 0.500, 0.864)
Br (0.890, 0.232, 0.133)
Br (0.890, 0.768, 0.633)
O (0.027, 0.284, 0.796)
O (0.027, 0.716, 0.296)
O (0.473, 0.284, 0.296)
O (0.473, 0.716, 0.796)
O (0.527, 0.284, 0.204)
O (0.527, 0.716, 0.704)
O (0.973, 0.284, 0.704)
O (0.973, 0.716, 0.204)